{"formula": "ErAgPdAu", "functional": "GGA-PBE", "state": "optimized geometry", "formation_enthalpy_0k_ev_per_atom": -0.626, "dft_energy_ev_per_atom": -4.597, "total_magnetization_mub_per_cell": 0.00, "de_polymorph_mev_per_atom": 0, "cell": [[-2.104, 2.104, 4.266], [2.104, -2.104, 4.266], [2.104, 2.104, -4.266]], "species": ["Er", "Ag", "Pd", "Au"], "fractional_positions": [[0.000, 0.000, 0.000], [0.500, 0.500, 0.000], [0.250, 0.750, 0.500], [0.750, 0.250, 0.500]]}

{"formula": "PrErAgAu", "functional": "GGA-PBE", "state": "optimized geometry", "formation_enthalpy_0k_ev_per_atom": -0.566, "dft_energy_ev_per_atom": -4.434, "total_magnetization_mub_per_cell": 0.00, "de_polymorph_mev_per_atom": 0, "cell": [[3.626, 0.000, 0.000], [0.000, 3.626, 0.000], [0.000, 0.000, 7.515]], "species": ["Pr", "Er", "Ag", "Au"], "fractional_positions": [[0.000, 0.000, 0.000], [0.000, 0.000, 0.488], [0.500, 0.500, 0.719], [0.500, 0.500, 0.275]]}

{"formula": "PrErAgAu", "functional": "GGA-PBE", "state": "optimized geometry", "formation_enthalpy_0k_ev_per_atom": -0.530, "dft_energy_ev_per_atom": -4.398, "total_magnetization_mub_per_cell": 0.00, "de_polymorph_mev_per_atom": 36, "cell": [[0.000, 3.678, 3.678], [3.678, 0.000, 3.678], [3.678, 3.678, 0.000]], "species": ["Pr", "Er", "Ag", "Au"], "fractional_positions": [[0.000, 0.000, 0.000], [0.500, 0.500, 0.500], [0.250, 0.250, 0.250], [0.750, 0.750, 0.750]]}

{"formula": "ErAgPtAu", "functional": "GGA-PBE", "state": "optimized geometry", "formation_enthalpy_0k_ev_per_atom": -0.674, "dft_energy_ev_per_atom": -4.857, "total_magnetization_mub_per_cell": 0.00, "cell": [[0.000, 3.390, 3.390], [3.390, 0.000, 3.390], [3.390, 3.390, 0.000]], "species": ["Er", "Ag", "Pt", "Au"], "fractional_positions": [[0.000, 0.000, 0.000], [0.500, 0.500, 0.500], [0.750, 0.750, 0.750], [0.250, 0.250, 0.250]]}